Entry w
This record from Alexandria describes a geometry-optimized Sc5W4 structure. The functional is PBE.

Geometry as CIF:
```
data_Sc5W4
_cell_length_a 8.2770
_cell_length_b 8.2770
_cell_length_c 5.8640
_cell_angle_alpha 90.00
_cell_angle_beta 90.00
_cell_angle_gamma 120.00
_symmetry_space_group_name_H-M 'P 63/m c m'
_symmetry_Int_Tables_number 193
_symmetry_space_group_name_Hall '-P 6c 2'
loop_
_atom_site_label
_atom_site_type_symbol
_atom_site_fract_x
_atom_site_fract_y
_atom_site_fract_z
Sc1 Sc 0.0000 0.3672 0.2500
Sc2 Sc 0.3333 0.6667 0.0000
W1 W 0.0000 0.0000 0.0000
W2 W 0.0000 0.2768 0.7500
```

## Properties
Crystal system   hexagonal
Total moment   0.0 μB/f.u.

=====

Entry x
This record from Alexandria describes a geometry-optimized Sc5W4 structure. The functional is PBE.

Geometry as CIF:
```
data_Sc5W4
_cell_length_a 10.1451
_cell_length_b 10.1451
_cell_length_c 3.3799
_cell_angle_alpha 90.00
_cell_angle_beta 90.00
_cell_angle_gamma 90.00
_symmetry_space_group_name_H-M 'I 4/m m m'
_symmetry_Int_Tables_number 139
_symmetry_space_group_name_Hall '-I 4 2'
loop_
_atom_site_label
_atom_site_type_symbol
_atom_site_fract_x
_atom_site_fract_y
_atom_site_fract_z
Sc1 Sc 0.0000 0.0000 0.0000
Sc2 Sc 0.1671 0.1671 0.5000
W1 W 0.0000 0.3524 0.0000
```

## Properties
Crystal system   tetragonal
Total moment   0.0 μB/f.u.

=====

Name the most stable of them. entry x.

=====

Entry w
This record from Alexandria describes a geometry-optimized Sc5W3 structure. The functional is PBE.

Geometry as CIF:
```
data_Sc5W3
_cell_length_a 9.4067
_cell_length_b 9.6583
_cell_length_c 3.5172
_cell_angle_alpha 90.00
_cell_angle_beta 90.00
_cell_angle_gamma 90.00
_symmetry_space_group_name_H-M 'C m m m'
_symmetry_Int_Tables_number 65
_symmetry_space_group_name_Hall '-C 2 2'
loop_
_atom_site_label
_atom_site_type_symbol
_atom_site_fract_x
_atom_site_fract_y
_atom_site_fract_z
Sc1 Sc 0.0000 0.0000 0.0000
Sc2 Sc 0.0000 0.2644 0.5000
Sc3 Sc 0.2500 0.2500 0.0000
W1 W 0.0000 0.5000 0.0000
W2 W 0.2135 0.5000 0.5000
```

## Properties
Crystal system   orthorhombic
Total moment   0.0 μB/f.u.

=====

Entry x
This record from Alexandria describes a geometry-optimized Sc5W3 structure. The functional is PBE.

Geometry as CIF:
```
data_Sc5W3
_cell_length_a 8.2438
_cell_length_b 8.2438
_cell_length_c 5.5686
_cell_angle_alpha 90.00
_cell_angle_beta 90.00
_cell_angle_gamma 120.00
_symmetry_space_group_name_H-M 'P 63/m c m'
_symmetry_Int_Tables_number 193
_symmetry_space_group_name_Hall '-P 6c 2'
loop_
_atom_site_label
_atom_site_type_symbol
_atom_site_fract_x
_atom_site_fract_y
_atom_site_fract_z
Sc1 Sc 0.0000 0.2529 0.2500
Sc2 Sc 0.3333 0.6667 0.0000
W1 W 0.0000 0.4121 0.7500
```

## Properties
Crystal system   hexagonal
Total moment   0.0 μB/f.u.

=====

Name the most stable of them. entry w.